# 1
SrHf2Si2 after structural relaxation. Source: Alexandria, functional PBE.

Output
- excess energy over the best structure of this formula in the dataset (eV per atom) = 0.1197

Cell lengths 5.0139, 5.0139, 6.1730 Å; angles 66.04, 66.04, 90.00 degrees
Fractional positions:
Hf: 0.3300 0.3300 0.3400
Si: 0.2500 0.7500 0.5000
Si: 0.7500 0.2500 0.5000
Hf: 0.6700 0.6700 0.6600
Sr: 0.0000 0.0000 0.0000


# 2
Pa2HgBi4 after structural relaxation. Source: Alexandria, functional PBE.

Output
- E_form (kJ per mole of atoms) = -11.8
- excess energy over the best structure of this formula in the dataset (eV per atom) = 0.0000

Cell lengths 4.9761, 6.5523, 6.5523 Å; angles 101.41, 90.00, 90.00 degrees
Fractional positions:
Hg: 0.5000 0.5000 0.5000
Pa: 0.0001 0.7262 0.2738
Pa: 0.9999 0.2738 0.7262
Bi: 0.0000 0.7809 0.7809
Bi: 0.5000 0.0000 0.5000
Bi: 0.5000 0.5000 0.0000
Bi: 0.0000 0.2191 0.2191


# 3
NdAlGeH after structural relaxation. Source: Alexandria, functional PBE.

Output
- E_tot (eV per atom) = -4.63

Cell lengths 4.0493, 4.0493, 8.3980 Å; angles 90.00, 90.00, 90.00 degrees
Fractional positions:
Al: 0.5000 0.5000 0.5000
H: 0.0000 0.0000 0.0000
Ge: 0.0000 0.5000 0.2940
H: 0.5000 0.5000 0.0000
Nd: 0.0000 0.5000 0.8395
Ge: 0.5000 0.0000 0.7060
Al: 0.0000 0.0000 0.5000
Nd: 0.5000 0.0000 0.1605


# 4
B after structural relaxation. Source: Alexandria, functional PBE.

Output
- E_form (kJ per mole of atoms) = 17.4
- excess energy over the best structure of this formula in the dataset (eV per atom) = 0.1805

Cell lengths 3.1881, 4.3755, 4.4273 Å; angles 60.76, 72.14, 71.53 degrees
Fractional positions:
B: 0.6508 0.5307 0.6227
B: 0.2506 0.5019 0.0023
B: 0.3492 0.4693 0.3773
B: 0.9452 0.2291 0.4118
B: 0.0548 0.7709 0.5882
B: 0.7494 0.4981 0.9977


# 5
LiU2Tl3Se6 after structural relaxation. Source: Alexandria, functional PBE.

Output
- E_tot (eV per atom) = -5.30

Cell lengths 7.2083, 7.2083, 8.0982 Å; angles 98.41, 98.41, 120.06 degrees
Site moments in Bohr magnetons follow the coordinates.
Fractional positions:
U: 0.3328 0.6672 0.0000  2.10
Tl: 0.1622 0.8378 0.5000  -0.01
Tl: 0.8378 0.1622 0.5000  -0.01
Li: 0.0000 0.0000 0.0000  0.00
Se: 0.9323 0.5871 0.7956  -0.06
Se: 0.2760 0.2760 0.8031  -0.06
U: 0.6672 0.3328 0.0000  2.10
Tl: 0.5000 0.5000 0.5000  -0.01
Se: 0.0677 0.4129 0.2044  -0.06
Se: 0.4129 0.0677 0.2044  -0.06
Se: 0.7240 0.7240 0.1969  -0.06
Se: 0.5871 0.9323 0.7956  -0.06


# 6
CoRuCl3 after structural relaxation. Source: Alexandria, functional PBE.

Output
- excess energy over the best structure of this formula in the dataset (eV per atom) = 0.4579

Cell lengths 4.9368, 4.9368, 9.6079 Å; angles 90.00, 90.00, 103.58 degrees
Site moments in Bohr magnetons follow the coordinates.
Fractional positions:
Cl: 0.0005 0.4996 0.2500  0.07
Co: 0.4993 0.5007 0.7500  2.10
Co: 0.5007 0.4993 0.2500  2.10
Cl: 0.9995 0.5004 0.7500  0.07
Cl: 0.0000 0.0000 0.5000  0.08
Cl: 0.5004 0.9995 0.2500  0.06
Cl: 0.4996 0.0005 0.7500  0.06
Cl: 0.0000 0.0000 0.0000  0.08
Ru: 0.9996 0.0004 0.7500  1.15
Ru: 0.0004 0.9996 0.2500  1.15


Question: Number 5 is which compound?
Answer: LiU2Tl3Se6